Density functional theory data (PBE) for an optimized crystal structure of CrAgAu.

DFT total energy: -14.988 eV per cell
energy relative to the elements: 0.25 eV per atom
M_tot: 4.099 μB per formula unit
distance to the lowest polymorph of the same formula: 31.5 meV per atom

CIF file:
```
data_CrAgAu
_cell_length_a 6.189
_cell_length_b 6.190
_cell_length_c 2.997
_cell_angle_alpha 75.98
_cell_angle_beta 76.00
_cell_angle_gamma 28.03
_space_group_name_H-M_alt 'P 1'
_space_group_IT_number 1
_space_group_name_Hall 'P 1'
loop_
_atom_site_label
_atom_site_fract_x
_atom_site_fract_y
_atom_site_fract_z
Ag1 0.995 0.995 0.005
Cr1 0.330 0.330 0.670
Au1 0.675 0.675 0.325
```


Density functional theory data (PBE) for an optimized crystal structure of CrAgAu.

DFT total energy: -15.083 eV per cell
energy relative to the elements: 0.22 eV per atom
M_tot: 4.013 μB per formula unit
distance to the lowest polymorph of the same formula: 0.0 meV per atom

CIF file:
```
data_CrAgAu
_cell_length_a 5.048
_cell_length_b 5.048
_cell_length_c 5.048
_cell_angle_alpha 143.71
_cell_angle_beta 136.42
_cell_angle_gamma 57.97
_space_group_name_H-M_alt 'P 1'
_space_group_IT_number 1
_space_group_name_Hall 'P 1'
loop_
_atom_site_label
_atom_site_fract_x
_atom_site_fract_y
_atom_site_fract_z
Au1 0.328 0.328 0.000
Cr1 0.670 0.670 0.000
Ag1 0.002 0.002 0.000
```


Density functional theory data (PBE) for an optimized crystal structure of CrAg2Au.

DFT total energy: -17.818 eV per cell
energy relative to the elements: 0.20 eV per atom
M_tot: 4.335 μB per formula unit
distance to the lowest polymorph of the same formula: 32.9 meV per atom

CIF file:
```
data_CrAg2Au
_cell_length_a 3.081
_cell_length_b 4.805
_cell_length_c 5.937
_cell_angle_alpha 53.24
_cell_angle_beta 90.00
_cell_angle_gamma 90.00
_space_group_name_H-M_alt 'P 1'
_space_group_IT_number 1
_space_group_name_Hall 'P 1'
loop_
_atom_site_label
_atom_site_fract_x
_atom_site_fract_y
_atom_site_fract_z
Ag1 0.500 0.500 0.000
Cr1 0.000 0.000 0.500
Au1 0.500 0.500 0.500
Ag2 0.000 0.000 0.000
```


Density functional theory data (PBE) for an optimized crystal structure of CrAg2Au.

DFT total energy: -17.608 eV per cell
energy relative to the elements: 0.25 eV per atom
M_tot: 4.437 μB per formula unit
distance to the lowest polymorph of the same formula: 85.3 meV per atom

CIF file:
```
data_CrAg2Au
_cell_length_a 4.973
_cell_length_b 4.973
_cell_length_c 3.027
_cell_angle_alpha 90.00
_cell_angle_beta 90.00
_cell_angle_gamma 109.13
_space_group_name_H-M_alt 'P 1'
_space_group_IT_number 1
_space_group_name_Hall 'P 1'
loop_
_atom_site_label
_atom_site_fract_x
_atom_site_fract_y
_atom_site_fract_z
Cr1 0.000 0.500 0.500
Ag1 0.000 0.000 0.000
Au1 0.500 0.000 0.500
Ag2 0.500 0.500 0.000
```


Density functional theory data (PBE) for an optimized crystal structure of CrAgAu3.

DFT total energy: -17.493 eV per cell
energy relative to the elements: 0.96 eV per atom
M_tot: 4.714 μB per formula unit
distance to the lowest polymorph of the same formula: 0.0 meV per atom

CIF file:
```
data_CrAgAu3
_cell_length_a 5.064
_cell_length_b 5.064
_cell_length_c 5.064
_cell_angle_alpha 90.00
_cell_angle_beta 90.00
_cell_angle_gamma 90.00
_space_group_name_H-M_alt 'P 1'
_space_group_IT_number 1
_space_group_name_Hall 'P 1'
loop_
_atom_site_label
_atom_site_fract_x
_atom_site_fract_y
_atom_site_fract_z
Au1 0.000 0.500 0.000
Au2 0.000 0.000 0.500
Ag1 0.000 0.000 0.000
Cr1 0.500 0.500 0.500
Au3 0.500 0.000 0.000
```


Density functional theory data (PBE) for an optimized crystal structure of CrAg2Au.

DFT total energy: -17.477 eV per cell
energy relative to the elements: 0.28 eV per atom
M_tot: 4.059 μB per formula unit
distance to the lowest polymorph of the same formula: 118.1 meV per atom

CIF file:
```
data_CrAg2Au
_cell_length_a 2.935
_cell_length_b 2.935
_cell_length_c 8.138
_cell_angle_alpha 90.00
_cell_angle_beta 90.00
_cell_angle_gamma 89.98
_space_group_name_H-M_alt 'P 1'
_space_group_IT_number 1
_space_group_name_Hall 'P 1'
loop_
_atom_site_label
_atom_site_fract_x
_atom_site_fract_y
_atom_site_fract_z
Cr1 0.500 0.500 0.750
Ag1 0.000 0.000 0.509
Ag2 0.000 0.000 0.991
Au1 0.500 0.500 0.250
```


Density functional theory data (PBE) for an optimized crystal structure of CrAg2Au.

DFT total energy: -17.897 eV per cell
energy relative to the elements: 0.18 eV per atom
M_tot: 4.165 μB per formula unit
distance to the lowest polymorph of the same formula: 13.0 meV per atom

CIF file:
```
data_CrAg2Au
_cell_length_a 3.843
_cell_length_b 3.066
_cell_length_c 6.716
_cell_angle_alpha 62.27
_cell_angle_beta 90.00
_cell_angle_gamma 90.00
_space_group_name_H-M_alt 'P 1'
_space_group_IT_number 1
_space_group_name_Hall 'P 1'
loop_
_atom_site_label
_atom_site_fract_x
_atom_site_fract_y
_atom_site_fract_z
Cr1 0.500 0.757 0.743
Ag1 0.500 0.253 0.247
Au1 0.000 0.488 0.513
Ag2 0.000 0.002 0.998
```


Density functional theory data (PBE) for an optimized crystal structure of CrAg2Au.

DFT total energy: -17.324 eV per cell
energy relative to the elements: 0.32 eV per atom
M_tot: 3.951 μB per formula unit
distance to the lowest polymorph of the same formula: 156.3 meV per atom

CIF file:
```
data_CrAg2Au
_cell_length_a 9.486
_cell_length_b 9.486
_cell_length_c 9.486
_cell_angle_alpha 17.89
_cell_angle_beta 17.89
_cell_angle_gamma 17.89
_space_group_name_H-M_alt 'P 1'
_space_group_IT_number 1
_space_group_name_Hall 'P 1'
loop_
_atom_site_label
_atom_site_fract_x
_atom_site_fract_y
_atom_site_fract_z
Cr1 0.750 0.750 0.750
Ag1 0.497 0.497 0.497
Ag2 0.003 0.003 0.003
Au1 0.250 0.250 0.250
```


Density functional theory data (PBE) for an optimized crystal structure of CrAg2Au2.

DFT total energy: -37.430 eV per cell
energy relative to the elements: 0.63 eV per atom
M_tot: 0.330 μB per formula unit
distance to the lowest polymorph of the same formula: 245.7 meV per atom

CIF file:
```
data_CrAg2Au2
_cell_length_a 8.055
_cell_length_b 8.055
_cell_length_c 2.821
_cell_angle_alpha 90.00
_cell_angle_beta 90.00
_cell_angle_gamma 90.00
_space_group_name_H-M_alt 'P 1'
_space_group_IT_number 1
_space_group_name_Hall 'P 1'
loop_
_atom_site_label
_atom_site_fract_x
_atom_site_fract_y
_atom_site_fract_z
Ag1 0.878 0.622 0.000
Au1 0.323 0.177 0.500
Au2 0.823 0.323 0.500
Cr1 0.500 0.500 0.000
Ag2 0.122 0.378 0.000
Cr2 0.000 0.000 0.000
Ag3 0.622 0.122 0.000
Au3 0.677 0.823 0.500
Au4 0.177 0.677 0.500
Ag4 0.378 0.878 0.000
```


Density functional theory data (PBE) for an optimized crystal structure of CrAg2Au.

DFT total energy: -33.450 eV per cell
energy relative to the elements: 0.47 eV per atom
M_tot: 4.573 μB per formula unit
distance to the lowest polymorph of the same formula: 306.0 meV per atom

CIF file:
```
data_CrAg2Au
_cell_length_a 7.534
_cell_length_b 7.534
_cell_length_c 5.997
_cell_angle_alpha 51.09
_cell_angle_beta 51.09
_cell_angle_gamma 90.00
_space_group_name_H-M_alt 'P 1'
_space_group_IT_number 1
_space_group_name_Hall 'P 1'
loop_
_atom_site_label
_atom_site_fract_x
_atom_site_fract_y
_atom_site_fract_z
Cr1 0.250 0.750 0.500
Au1 0.000 0.000 0.000
Cr2 0.500 0.500 0.000
Ag1 0.625 0.125 0.250
Au2 0.750 0.250 0.500
Ag2 0.375 0.375 0.750
Ag3 0.125 0.625 0.250
Ag4 0.875 0.875 0.750
```


Density functional theory data (PBE) for an optimized crystal structure of CrAg2Au.

DFT total energy: -17.736 eV per cell
energy relative to the elements: 0.22 eV per atom
M_tot: 4.276 μB per formula unit
distance to the lowest polymorph of the same formula: 53.4 meV per atom

CIF file:
```
data_CrAg2Au
_cell_length_a 5.014
_cell_length_b 5.014
_cell_length_c 5.041
_cell_angle_alpha 79.60
_cell_angle_beta 79.60
_cell_angle_gamma 34.47
_space_group_name_H-M_alt 'P 1'
_space_group_IT_number 1
_space_group_name_Hall 'P 1'
loop_
_atom_site_label
_atom_site_fract_x
_atom_site_fract_y
_atom_site_fract_z
Au1 0.496 0.496 0.513
Ag1 0.249 0.249 0.244
Cr1 0.753 0.753 0.740
Ag2 0.002 0.002 0.003
```


Density functional theory data (PBE) for an optimized crystal structure of CrAg2Au.

DFT total energy: -17.939 eV per cell
energy relative to the elements: 0.17 eV per atom
M_tot: 4.231 μB per formula unit
distance to the lowest polymorph of the same formula: 2.6 meV per atom

CIF file:
```
data_CrAg2Au
_cell_length_a 4.951
_cell_length_b 4.951
_cell_length_c 4.956
_cell_angle_alpha 129.87
_cell_angle_beta 129.87
_cell_angle_gamma 73.54
_space_group_name_H-M_alt 'P 1'
_space_group_IT_number 1
_space_group_name_Hall 'P 1'
loop_
_atom_site_label
_atom_site_fract_x
_atom_site_fract_y
_atom_site_fract_z
Ag1 0.000 0.000 0.000
Au1 0.500 0.500 0.000
Ag2 0.750 0.250 0.500
Cr1 0.250 0.750 0.500
```


Density functional theory data (PBE) for an optimized crystal structure of CrAg2Au.

DFT total energy: -17.713 eV per cell
energy relative to the elements: 0.22 eV per atom
M_tot: 4.365 μB per formula unit
distance to the lowest polymorph of the same formula: 59.1 meV per atom

CIF file:
```
data_CrAg2Au
_cell_length_a 2.973
_cell_length_b 4.080
_cell_length_c 5.794
_cell_angle_alpha 90.00
_cell_angle_beta 90.00
_cell_angle_gamma 90.00
_space_group_name_H-M_alt 'P 1'
_space_group_IT_number 1
_space_group_name_Hall 'P 1'
loop_
_atom_site_label
_atom_site_fract_x
_atom_site_fract_y
_atom_site_fract_z
Cr1 0.500 0.500 0.750
Ag1 0.000 0.000 0.506
Ag2 0.000 0.000 0.994
Au1 0.500 0.500 0.250
```


Density functional theory data (PBE) for an optimized crystal structure of CrAg2Au2.

DFT total energy: -19.943 eV per cell
energy relative to the elements: 0.39 eV per atom
M_tot: 4.602 μB per formula unit
distance to the lowest polymorph of the same formula: 0.0 meV per atom

CIF file:
```
data_CrAg2Au2
_cell_length_a 3.837
_cell_length_b 3.837
_cell_length_c 7.419
_cell_angle_alpha 75.01
_cell_angle_beta 75.01
_cell_angle_gamma 90.00
_space_group_name_H-M_alt 'P 1'
_space_group_IT_number 1
_space_group_name_Hall 'P 1'
loop_
_atom_site_label
_atom_site_fract_x
_atom_site_fract_y
_atom_site_fract_z
Au1 0.750 0.250 0.500
Ag1 0.596 0.596 0.808
Cr1 0.000 0.000 0.000
Au2 0.250 0.750 0.500
Ag2 0.404 0.404 0.192
```